4
Lattice="0.000 3.790 3.790 3.790 0.000 3.790 3.790 3.790 0.000" Properties=species:S:1:pos:R:3 comment="PBE LiPrErIn, optimized geometry" total_magnetization_mub_per_fu=0.0 n_ef_per_ev_fu=4.15 sg="No. 216" delta_e_f_mev_per_atom=-255 pbc="T T T"
Li 0.000 0.000 0.000
Pr 5.684 5.684 5.684
Er 1.895 1.895 1.895
In 3.790 3.790 3.790